Record 1
Ba2In3GaHg4 (PBE-GGA, relaxed); energy of formation = -3.542 eV per formula unit
1.0
4.972 0.000 0.000
0.000 4.972 0.000
0.000 0.000 11.877
Hg In Ba Ga
4 3 2 1
Cartesian
2.486 2.486 0.000
0.000 2.486 4.433
2.486 0.000 7.444
0.000 0.000 0.000
0.000 0.000 5.938
2.486 0.000 10.294
0.000 2.486 1.583
0.000 2.486 8.896
2.486 0.000 2.980
2.486 2.486 5.938

Record 2
Er2ThBr (PBE-GGA, relaxed); formation energy (no corrections) = -529.3 meV per atom
1.0
-2.352 2.644 -0.865
-3.143 -0.825 -1.647
-6.266 -0.404 8.130
Br Er Th
1 2 1
Cartesian
0.000 0.000 0.000
-2.849 0.375 1.219
-8.913 1.040 4.399
-5.881 0.707 2.809

Record 3
RbNa2CaP (PBE-GGA, relaxed); energy of formation = 0.524 eV per formula unit
1.0
6.465 0.000 0.000
0.000 5.351 0.000
0.000 0.000 6.465
Ca Na Rb P
1 2 1 1
Cartesian
0.000 0.000 0.000
0.000 0.000 3.232
3.232 0.000 0.000
3.232 2.676 3.232
0.000 2.676 0.000

Record 4
TiAlCl3 (PBE-GGA, relaxed); formation energy (no corrections) = -833.5 meV per atom
1.0
-1.125 -4.794 -0.735
4.817 -1.017 -0.741
0.563 -0.878 4.869
Al Ti Cl
1 1 3
Cartesian
2.128 -3.345 1.697
0.000 0.000 0.000
0.282 -0.439 2.434
-0.562 -2.397 -0.367
2.409 -0.508 -0.370

Record 5
Sm2InTc (PBE-GGA, relaxed); energy of formation = -0.545 eV per formula unit
1.0
3.617 0.000 0.000
0.000 3.617 0.000
0.000 0.000 7.631
In Sm Tc
1 2 1
Cartesian
1.808 1.808 3.816
0.000 0.000 5.988
0.000 0.000 1.643
1.808 1.808 0.000

Record 6
First-principles (PBE-GGA) data for crystalline ZnHNO2 at its relaxed geometry, as listed in Alexandria.

Cell and atoms, written as POSCAR:
```
ZnHNO2
1.0
3.843 0.000 0.000
0.000 3.843 0.000
0.000 0.000 4.406
H O Zn N
1 2 1 1
Cartesian
1.921 1.921 2.203
0.000 1.921 0.000
1.921 0.000 0.000
0.000 0.000 0.000
0.000 0.000 2.203
```

| no. | DFT total energy (Ry/atom) | Fermi-level density of states (states/eV/f.u.) |
| --- | --- | --- |
| 1 | -0.1458 | 4.233 |
| 2 | -0.3737 | 3.991 |
| 3 | -0.1543 | 1.653 |
| 4 | -0.3138 | 5.159 |
| 5 | -0.4242 | 4.783 |
| 6 | -0.2341 | 2.814 |